Computed, not measured: a relaxed LiCrB2 crystal at the GGA-PBE level of DFT.

Values from the calculation:
Energy above the lowest structure with this stoichiometry in eV per atom: 0.000
Total moment in μB per formula unit: 0.00
Calculated total energy in Ry/atom: -0.4262
Calculated volume in Å³/f.u.: 32
SG: Fm-3m
Formation energy in eV per atom: 0.424

The structure in POSCAR format:
```
LiCrB2
1.0
0.000 2.530 2.530
2.530 0.000 2.530
2.530 2.530 0.000
Li B Cr
1 2 1
Cartesian
0.000 0.000 0.000 Li
1.265 1.265 1.265 B
3.795 3.795 3.795 B
2.530 2.530 2.530 Cr
```